No. 1
Computed, not measured: crystalline Ca2V2Ni15 at its relaxed geometry at the PBE level of DFT.

total DFT energy (no corrections): -111.3 eV/cell
formation energy: -2.32 eV/f.u.
space group: R-3m

Lattice parameters (Å, degrees): 6.306 6.306 6.306 82.72 82.72 82.72
Element x y z (fractional)
Ca 0.154 0.154 0.154
Ca 0.846 0.846 0.846
V 0.408 0.408 0.408
V 0.592 0.592 0.592
Ni 0.000 0.500 0.500
Ni 0.159 0.159 0.650
Ni 0.159 0.650 0.159
Ni 0.205 0.500 0.795
Ni 0.205 0.795 0.500
Ni 0.350 0.841 0.841
Ni 0.500 0.000 0.500
Ni 0.500 0.205 0.795
Ni 0.500 0.500 0.000
Ni 0.500 0.795 0.205
Ni 0.650 0.159 0.159
Ni 0.795 0.205 0.500
Ni 0.795 0.500 0.205
Ni 0.841 0.350 0.841
Ni 0.841 0.841 0.350

***

No. 2
Computed, not measured: crystalline KZr2Hg at its relaxed geometry at the PBE level of DFT.

total DFT energy (no corrections): -16.3 eV/cell
formation energy: 2.15 eV/f.u.
space group: P4/mmm

Lattice parameters (Å, degrees): 3.719 3.719 9.120 90.00 90.00 90.00
Element x y z (fractional)
K 0.000 0.000 0.000
Zr 0.500 0.500 0.344
Zr 0.500 0.500 0.656
Hg 0.000 0.000 0.500

***

no.,Fermi-level density of states (states/eV per atom)
1,1.400
2,1.353